Material: Na2SrZnF
Method: DFT, PBE
State: relaxed

Properties
- volume (A^3/atom) = 24.6
- energy relative to the elements, uncorrected (eV per atom) = -1.047
- uncorrected energy (eV/cell) = -12.70
- ρ (Mg/m³) = 2.9
- total magnetic moment (μB per formula unit) = 0.00

Lattice parameters (Å, degrees): 4.8743 4.8743 5.1850 90.00 90.00 90.00
With the nearest neighbours (Å) after each atom.
Space group P4/mmm (No. 123)
Unique sites:
Na  0.0000  0.5000  0.0000  2 F 2.44
Sr  0.0000  0.0000  0.5000  2 F 2.59
Zn  0.5000  0.5000  0.5000  4 Sr 3.45, 8 Na 3.56
F  0.0000  0.0000  0.0000  4 Na 2.44, 2 Sr 2.59